(1)
DFT (GGA-PBE) results for a geometry-optimized SrBiAu structure.

The calculation puts the formation energy at -0.4958 eV/atom. Its total energy is -3.44 eV/atom. For the density of states at the Fermi level, the calculation gives 0.44 states/eV per atom.

It has space group I4mm (No. 107), with a = 3.790 Å, b = 3.790 Å, c = 12.240 Å, α = 90.00°, β = 90.00° and γ = 90.00°. Symmetry generates all atoms from Sr at (0.000, 0.000, 0.000), Bi at (0.000, 0.000, 0.707) and Au at (0.000, 0.000, 0.355).


(2)
DFT (GGA-PBE) results for a geometry-optimized KHoP2Pt4 structure.

The calculation puts the formation energy at -0.7587 eV/atom. Its total energy is -5.84 eV/atom. For the density of states at the Fermi level, the calculation gives 0.49 states/eV per atom.

It has space group P4/mmm (No. 123), with a = 4.032 Å, b = 4.032 Å, c = 10.624 Å, α = 90.00°, β = 90.00° and γ = 90.00°. Symmetry generates all atoms from K at (0.000, 0.000, 0.000), Ho at (0.000, 0.000, 0.500), P at (0.500, 0.500, 0.186) and Pt at (0.000, 0.500, 0.299).


Computed volume (Å³/atom) in order:
29.30, 21.59
Computed total magnetic moment (μB/atom) in order:
0.00, 0.00